Below is an optimized crystal structure of SrZn3Au6, with properties calculated at the PBE-GGA level.

## Properties
**Mass density**: 12.4 g/cm³
**Electronic total energy**: -56.99 eV for the cell shown
**Calculated formation energy**: -0.333 eV/atom

Structure (CIF):
```
data_SrZn3Au6
_chemical_formula_sum 'Sr2 Zn6 Au12'
_cell_length_a 7.108
_cell_length_b 7.181
_cell_length_c 8.953
_cell_angle_alpha 90.00
_cell_angle_beta 121.11
_cell_angle_gamma 90.00
_symmetry_space_group_name_H-M 'P 1 21/c 1'
_symmetry_Int_Tables_number 14
loop_
_symmetry_equiv_pos_as_xyz
'x,y,z'
'-x,-y,-z'
'-x,y+1/2,-z+1/2'
'x,-y+1/2,z+1/2'
loop_
_atom_site_label
_atom_site_type_symbol
_atom_site_fract_x
_atom_site_fract_y
_atom_site_fract_z
Sr1 Sr 0.000 0.000 0.000
Zn1 Zn 0.269 0.154 0.442
Zn2 Zn 0.500 0.000 0.000
Au1 Au 0.138 0.049 0.682
Au2 Au 0.253 0.699 0.873
Au3 Au 0.473 0.170 0.256
```